An optimized crystal structure of Tl5Te2H4, computed with GGA-PBE.

It has space group P-1 (No. 2), with a = 6.6917 Å, b = 6.8523 Å, c = 7.4487 Å, α = 91.94°, β = 112.94° and γ = 117.34°. Symmetry generates all atoms from Tl at (0.0000, 0.0000, 0.0000), Tl at (0.1730, 0.8595, 0.4736), Tl at (0.3756, 0.7014, 0.0271), Te at (0.4165, 0.5489, 0.6682), H at (0.1736, 0.7448, 0.1250) and H at (0.2914, 0.0062, 0.8267).



An optimized crystal structure of Tl3TeH4, computed with GGA-PBE.

It has space group P1 (No. 1), with a = 4.6032 Å, b = 4.7937 Å, c = 8.5685 Å, α = 78.80°, β = 78.05° and γ = 89.51°. Symmetry generates all atoms from Tl at (0.0000, 0.0000, 0.0000), Tl at (0.2282, 0.7048, 0.6298), Tl at (0.7161, 0.2101, 0.6341), Te at (0.3568, 0.4261, 0.1872), H at (0.0424, 0.3494, 0.3365), H at (0.4171, 0.9478, 0.8266), H at (0.5288, 0.2028, 0.3190) and H at (0.9330, 0.3776, 0.8248).



Number 1: mass density 7.89 g/cm3, total energy -2.69 eV per atom, magnetization 0.00 Bohr magnetons per cell. Number 2: mass density 6.82 g/cm3, total energy -2.66 eV per atom, magnetization 0.00 Bohr magnetons per cell.